{"formula": "K3Pd2Cl8", "functional": "PBE", "state": "optimized geometry", "volume_a3_per_atom": 28.596, "energy_ev_per_atom": -3.12, "crystal_system": "trigonal", "dos_ef_per_ev_cell": 8.8, "spacegroup": "R-3m", "total_magnetization_mub_per_fu": 0.0, "e_form_raw_kcal_per_mol_atoms": -21.4, "lattice": [[-3.401, 1.375, 5.570], [-6.171, -2.394, 0.816], [0.432, -8.257, 6.294]], "species": ["K", "K", "K", "Cl", "Cl", "Cl", "Cl", "Cl", "Cl", "Cl", "Cl", "Pd", "Pd"], "frac_coords": [[0.207, 0.207, 0.379], [0.793, 0.793, 0.621], [0.000, 0.000, 0.000], [0.313, 0.313, 0.060], [0.738, 0.212, 0.311], [0.788, 0.262, 0.689], [0.738, 0.738, 0.311], [0.687, 0.687, 0.940], [0.262, 0.262, 0.689], [0.262, 0.788, 0.689], [0.212, 0.738, 0.311], [0.604, 0.604, 0.189], [0.396, 0.396, 0.811]]}